[1]
Compound: HoOsRu
Source: Alexandria
Functional: PBE
Structure: relaxed

abc: 5.220 5.220 8.991
angles: 90.00 90.00 118.78
Fractional positions:
1 Os 0.172 0.828 0.000
2 Os 0.662 0.830 0.000
3 Os 0.837 0.163 0.500
4 Os 0.170 0.338 0.000
5 Ru 0.832 0.652 0.500
6 Ru 0.348 0.168 0.500
7 Ru 0.993 0.007 0.749
8 Ru 0.993 0.007 0.251
9 Ho 0.666 0.334 0.816
10 Ho 0.332 0.669 0.317
11 Ho 0.666 0.334 0.184
12 Ho 0.332 0.669 0.683

Energy relative to the elements   -8.042 kcal/mol of atoms
ΔE to the lowest computed polymorph   0 meV/atom
Crystal system   orthorhombic

[2]
Compound: MgPt3N
Source: Alexandria
Functional: PBE
Structure: relaxed

abc: 4.696 4.696 4.696
angles: 90.00 90.00 90.00
Site moments in Bohr magnetons follow the coordinates.
Fractional positions:
1 N 0.500 0.500 0.500  1.59
2 Pt 0.000 0.500 0.000  0.35
3 Pt 0.500 0.000 0.000  0.28
4 Pt 0.000 0.000 0.500  0.23
5 Mg 0.000 0.000 0.000  0.00

Uncorrected formation energy   2.065 eV per atom
ΔE to the lowest computed polymorph   1959 meV/atom
Crystal system   cubic

[3]
Compound: Ba2CaTl
Source: Alexandria
Functional: PBE
Structure: relaxed

abc: 10.282 10.282 8.144
angles: 50.85 50.85 90.00
Fractional positions:
1 Ca 0.500 0.500 0.000
2 Ca 0.250 0.750 0.500
3 Ba 0.875 0.926 0.750
4 Ba 0.676 0.125 0.250
5 Ba 0.074 0.625 0.250
6 Ba 0.375 0.324 0.750
7 Tl 0.000 0.000 0.000
8 Tl 0.750 0.250 0.500

Energy relative to the elements   0.250 kcal/mol of atoms
ΔE to the lowest computed polymorph   225 meV/atom
Crystal system   tetragonal